[1]
The following is a GGA-PBE calculation of a geometry-optimized Sm8Ir3I4Cl structure, from Alexandria via LeMat-Bulk.

Cell: 8.4746 8.4746 23.9134 Å, 90.00 90.00 120.00°
With the nearest neighbours (Å) after each atom.
Space group R-3m (No. 166, hexagonal axes)
One atom of each set of equivalent atoms:
Sm 0.0000 0.0000 0.2272 (multiplicity 6)  3 Ir 2.84
Sm 0.0267 0.5134 0.7709 (multiplicity 18)  2 Ir 2.79, 1 Cl 3.04
Ir 0.0000 0.5000 0.5000 (multiplicity 9)  6 Sm 2.79-2.84
I 0.0000 0.0000 0.0000 (multiplicity 3)  6 Sm 3.36
I 0.0000 0.5000 0.0000 (multiplicity 9)  6 Sm 3.53-3.57
Cl 0.0000 0.0000 0.5000 (multiplicity 3)  6 Sm 3.04

Results
Raw formation energy ... -1.000 eV/atom

[2]
The following is a GGA-PBE calculation of a geometry-optimized Tl2IrI2Cl4 structure, from Alexandria via LeMat-Bulk.

Cell: 7.2929 7.2929 10.5735 Å, 90.00 90.00 90.00°
With the nearest neighbours (Å) after each atom.
Space group I4/mmm (No. 139)
One atom of each set of equivalent atoms:
Tl 0.0000 0.5000 0.2500 (multiplicity 4)  4 I 3.65, 8 Cl 3.70
Ir 0.0000 0.0000 0.0000 (multiplicity 2)  4 Cl 2.35
I 0.0000 0.0000 0.2523 (multiplicity 4)  1 Ir 2.67
Cl 0.2276 0.2276 0.0000 (multiplicity 8)  1 Ir 2.35

Results
Raw formation energy ... -0.582 eV/atom

[3]
The following is a GGA-PBE calculation of a geometry-optimized KICl4 structure, from Alexandria via LeMat-Bulk.

Cell: 15.8096 7.6807 7.7988 Å, 90.00 119.42 90.00°
With the nearest neighbours (Å) after each atom.
Space group C2/c (No. 15)
One atom of each set of equivalent atoms:
K 0.0000 0.2502 0.2500 (multiplicity 4)  8 Cl 3.32-3.35
I 0.2500 0.2500 0.0000 (multiplicity 4)  4 Cl 2.54
Cl 0.1206 0.0846 0.0353 (multiplicity 8)  1 I 2.54
Cl 0.1208 0.4145 0.7057 (multiplicity 8)  1 I 2.54

Results
Energy above the most stable polymorph in this dataset ... 0.000 eV/atom
Raw formation energy ... -0.838 eV/atom

[4]
The following is a GGA-PBE calculation of a geometry-optimized K2ICl8 structure, from Alexandria via LeMat-Bulk.

Cell: 12.5017 10.3386 6.2835 Å, 90.00 98.84 90.00°
With the nearest neighbours (Å) after each atom.
Space group C2/m (No. 12)
One atom of each set of equivalent atoms:
K 0.1589 0.0000 0.3877 (multiplicity 4)  8 Cl 3.16-3.46
I 0.0000 0.5000 0.5000 (multiplicity 2)  6 Cl 2.49-2.52
Cl 0.0774 0.0000 0.8787 (multiplicity 4)  1 Cl 2.64
Cl 0.1191 0.3308 0.3679 (multiplicity 8)  1 I 2.52
Cl 0.1248 0.5000 0.8489 (multiplicity 4)  1 I 2.49

Results
Raw formation energy ... -0.718 eV/atom

[5]
The following is a GGA-PBE calculation of a geometry-optimized KICl3 structure, from Alexandria via LeMat-Bulk.

Cell: 5.6409 5.6409 5.6409 Å, 90.00 90.00 90.00°
With the nearest neighbours (Å) after each atom.
Space group Pm-3m (No. 221)
One atom of each set of equivalent atoms:
K 0.0000 0.0000 0.0000 (multiplicity 1)  12 Cl 3.99
I 0.5000 0.5000 0.5000 (multiplicity 1)  6 Cl 2.82
Cl 0.0000 0.5000 0.5000 (multiplicity 3)  2 I 2.82

Results
Energy above the most stable polymorph in this dataset ... 0.161 eV/atom
Raw formation energy ... -0.736 eV/atom

[6]
The following is a GGA-PBE calculation of a geometry-optimized K8I3Cl4 structure, from Alexandria via LeMat-Bulk.

Cell: 13.5637 13.5909 9.5609 Å, 90.00 134.63 90.00°
With the nearest neighbours (Å) after each atom.
Space group C2/m (No. 12)
One atom of each set of equivalent atoms:
K 0.0000 0.2403 0.0000 (multiplicity 4)  3 Cl 3.27-3.40, 3 I 3.39-3.53
K 0.0000 0.2425 0.5000 (multiplicity 4)  3 Cl 3.30-3.39, 2 I 3.40
K 0.2283 0.0000 0.9783 (multiplicity 4)  2 Cl 3.25-3.26, 3 I 3.40-3.54
K 0.2371 0.0000 0.4827 (multiplicity 4)  4 Cl 3.28-3.40, 1 I 3.52
I 0.0000 0.5000 0.0000 (multiplicity 2)  6 K 3.52-3.54
I 0.2500 0.2500 0.0000 (multiplicity 4)  6 K 3.39-3.40
Cl 0.0000 0.0000 0.0000 (multiplicity 2)  6 K 3.25-3.28
Cl 0.0000 0.0000 0.5000 (multiplicity 2)  6 K 3.26-3.33
Cl 0.2500 0.2500 0.5000 (multiplicity 4)  6 K 3.39-3.40

Results
Raw formation energy ... -1.574 eV/atom

[7]
The following is a GGA-PBE calculation of a geometry-optimized KICl2 structure, from Alexandria via LeMat-Bulk.

Cell: 8.7452 11.4311 12.5123 Å, 90.00 109.38 90.00°
With the nearest neighbours (Å) after each atom.
Space group P2_1/c (No. 14)
One atom of each set of equivalent atoms:
K 0.0328 0.2009 0.4100 (multiplicity 4)  6 Cl 3.25-3.37
K 0.4636 0.0529 0.1898 (multiplicity 4)  6 Cl 3.21-3.31
I 0.1197 0.5209 0.3819 (multiplicity 4)  2 Cl 2.57-2.59
I 0.2887 0.6012 0.9160 (multiplicity 4)  2 Cl 2.58
Cl 0.1105 0.1728 0.1657 (multiplicity 4)  1 I 2.57
Cl 0.2341 0.0004 0.5836 (multiplicity 4)  1 I 2.58
Cl 0.3314 0.6989 0.7423 (multiplicity 4)  1 I 2.58
Cl 0.3501 0.1324 0.9292 (multiplicity 4)  1 I 2.59

Results
Raw formation energy ... -1.080 eV/atom

[8]
The following is a GGA-PBE calculation of a geometry-optimized K2ICl5 structure, from Alexandria via LeMat-Bulk.

Cell: 9.2299 8.7709 7.8414 Å, 90.00 118.66 90.00°
With the nearest neighbours (Å) after each atom.
Space group Cm (No. 8)
One atom of each set of equivalent atoms:
K 0.0000 0.0000 0.0000 (multiplicity 2)  1 Cl 2.95
K 0.0119 0.5000 0.2822 (multiplicity 2)  1 Cl 2.95
I 0.2554 0.0000 0.6401 (multiplicity 2)  4 Cl 2.56-2.57
Cl 0.2457 0.2027 0.8701 (multiplicity 4)  1 I 2.56
Cl 0.2527 0.5000 0.1364 (multiplicity 2)  2 K 2.95
Cl 0.2648 0.2027 0.4091 (multiplicity 4)  1 I 2.57

Results
Energy above the most stable polymorph in this dataset ... 0.037 eV/atom
Raw formation energy ... -1.041 eV/atom

[9]
The following is a GGA-PBE calculation of a geometry-optimized K5I4Cl structure, from Alexandria via LeMat-Bulk.

Cell: 4.9928 4.9928 35.0240 Å, 90.00 90.00 90.00°
With the nearest neighbours (Å) after each atom.
Space group I4/mmm (No. 139)
One atom of each set of equivalent atoms:
K 0.0000 0.0000 0.0000 (multiplicity 2)  2 I 3.44, 4 Cl 3.53
K 0.0000 0.0000 0.1997 (multiplicity 4)  6 I 3.53-3.59
K 0.0000 0.0000 0.4078 (multiplicity 4)  1 Cl 3.23, 4 I 3.54
I 0.0000 0.0000 0.0982 (multiplicity 4)  6 K 3.44-3.56
I 0.0000 0.0000 0.3021 (multiplicity 4)  6 K 3.53-3.70
Cl 0.0000 0.0000 0.5000 (multiplicity 2)  6 K 3.23-3.53

Results
Energy above the most stable polymorph in this dataset ... 0.004 eV/atom
Raw formation energy ... -1.560 eV/atom

[10]
The following is a GGA-PBE calculation of a geometry-optimized K5I2Cl2 structure, from Alexandria via LeMat-Bulk.

Cell: 17.5550 8.6109 10.3011 Å, 90.00 90.00 90.00°
With the nearest neighbours (Å) after each atom.
Space group Cmce (No. 64)
One atom of each set of equivalent atoms:
K 0.0000 0.0000 0.0000 (multiplicity 4)  2 Cl 3.17, 2 I 3.50
K 0.1294 0.1372 0.3244 (multiplicity 16)  2 Cl 3.18-3.32
I 0.1995 0.0000 0.0000 (multiplicity 8)  7 K 3.50-3.81
Cl 0.0000 0.1403 0.7156 (multiplicity 8)  5 K 3.17-3.32

Results
Raw formation energy ... -1.396 eV/atom

[11]
The following is a GGA-PBE calculation of a geometry-optimized K3ICl2 structure, from Alexandria via LeMat-Bulk.

Cell: 13.9263 8.0378 8.4515 Å, 90.00 90.00 90.00°
With the nearest neighbours (Å) after each atom.
Space group Cmcm (No. 63)
One atom of each set of equivalent atoms:
K 0.0000 0.0794 0.2500 (multiplicity 4)  4 Cl 3.20, 1 I 3.38
K 0.2105 0.2895 0.7500 (multiplicity 8)  4 Cl 3.20, 1 I 3.38
I 0.0000 0.5005 0.2500 (multiplicity 4)  3 K 3.38
Cl 0.1667 0.0000 0.0000 (multiplicity 8)  6 K 3.20

Results
Raw formation energy ... -1.708 eV/atom

[12]
The following is a GGA-PBE calculation of a geometry-optimized KI2Cl structure, from Alexandria via LeMat-Bulk.

Cell: 6.4865 6.4865 19.0953 Å, 90.00 90.00 90.00°
With the nearest neighbours (Å) after each atom.
Space group I-42d (No. 122)
One atom of each set of equivalent atoms:
K 0.0000 0.0000 0.0000 (multiplicity 4)  4 I 3.60
I 0.1678 0.2500 0.6250 (multiplicity 8)  2 Cl 3.08
Cl 0.0000 0.0000 0.5000 (multiplicity 4)  4 I 3.08

Results
Energy above the most stable polymorph in this dataset ... 0.000 eV/atom
Raw formation energy ... -0.441 eV/atom

Short version: spin magnetization = 0.0 1.0 0.0 1.0 0.0 0.8 0.0 0.0 0.0 0.0 0.0 0.8 μB/f.u., in the order given.